# PBE with a Hubbard U Pm3MoO6, relaxed
# DOS(E_F), states/eV/f.u.: 0.0
# Relative energy among the computed polymorphs, eV per formula unit: 1.00
# Total energy, eV/atom: -8.008
# Magnetic moment, μB/atom: 0.3000
data_Pm3MoO6
_chemical_formula_sum 'Pm12 Mo4 O24'
_space_group_name_H-M_alt 'C m c 21'
_space_group_IT_number 36
_space_group_name_Hall 'C 2c -2'
_cell_length_a 9.278
_cell_length_b 11.375
_cell_length_c 5.748
_cell_angle_alpha 90.00
_cell_angle_beta 90.00
_cell_angle_gamma 90.00
loop_
_atom_site_label
_atom_site_fract_x
_atom_site_fract_y
_atom_site_fract_z
Pm1 0.000 0.104 0.000
Pm2 0.207 0.382 0.948
Mo1 0.000 0.357 0.438
O1 0.000 0.278 0.769
O2 0.000 0.487 0.141
O3 0.148 0.250 0.253
O4 0.159 0.013 0.725